1.
Entry from the Alexandria database: a relaxed PrEr2C crystal (PBE).

a = 3.571 Å, b = 3.571 Å, c = 9.479 Å
α = 90.00°, β = 100.85°, γ = 120.00°
Element x y z (fractional)
C (0.999, 0.999, 0.998)
Er (0.762, 0.381, 0.143)
Er (0.237, 0.618, 0.855)
Pr (0.669, 0.834, 0.504)

Computed properties:
* E above lowest polymorph: 0.0 meV per atom
* ΔH_f (0 K): -207 meV/atom
* total moment: 0.40 μB/cell

***

2.
Entry from the Alexandria database: a relaxed Ho4TeRhSe2 crystal (PBE).

a = 4.048 Å, b = 7.282 Å, c = 7.277 Å
α = 108.32°, β = 90.00°, γ = 90.00°
Element x y z (fractional)
Ho (0.000, 0.282, 0.768)
Ho (0.500, 0.722, 0.748)
Ho (0.500, 0.278, 0.252)
Ho (0.000, 0.718, 0.232)
Te (0.000, 0.000, 0.000)
Se (0.500, 0.000, 0.500)
Se (0.000, 0.500, 0.500)
Rh (0.500, 0.500, 0.000)

Computed properties:
* E_form (uncorrected): -1.350 eV/atom
* total moment: 0.00 μB/cell

***

Repeat the first record exactly.
Entry from the Alexandria database: a relaxed PrEr2C crystal (PBE).

a = 3.571 Å, b = 3.571 Å, c = 9.479 Å
α = 90.00°, β = 100.85°, γ = 120.00°
Element x y z (fractional)
C (0.999, 0.999, 0.998)
Er (0.762, 0.381, 0.143)
Er (0.237, 0.618, 0.855)
Pr (0.669, 0.834, 0.504)

Computed properties:
* E above lowest polymorph: 0.0 meV per atom
* ΔH_f (0 K): -207 meV/atom
* total moment: 0.40 μB/cell

***

Q: Which of these has the lowest total moment?
A: Ho4TeRhSe2

***

Q: Among the records above, which one has the lowest total moment?
A: Ho4TeRhSe2